Entry 1:
Density functional theory data (PBE) for a geometry-optimized LaTbPt structure. Values from VASP.

Calculated values
The energy relative to the elements is -752 meV per atom. The excess energy over the best structure of this formula in the dataset comes out at 0.105 eV/atom.

Cell and atoms, written as Quantum ESPRESSO input:
```
&SYSTEM
  ibrav = 0, nat = 6, ntyp = 3
/
ATOMIC_SPECIES
La 138.91 La.upf
Tb 158.93 Tb.upf
Pt 195.08 Pt.upf
ATOMIC_POSITIONS crystal
La 0.000 0.000 0.000
La 0.500 0.500 0.500
Tb 0.000 0.000 0.264
Tb 0.500 0.500 0.764
Pt 0.000 0.000 0.649
Pt 0.500 0.500 0.149
CELL_PARAMETERS angstrom
3.603 0.000 0.000
0.000 3.603 0.000
0.000 0.000 12.963
```

=====

Entry 2:
Density functional theory data (PBE) for a geometry-optimized BeFe2CuTe structure. Values from VASP.

Calculated values
For the formation energy without anion corrections, the calculation gives 1.060 eV/atom.

Cell and atoms, written as Quantum ESPRESSO input:
```
&SYSTEM
  ibrav = 0, nat = 5, ntyp = 4
/
ATOMIC_SPECIES
Be 9.01 Be.upf
Fe 55.84 Fe.upf
Cu 63.55 Cu.upf
Te 127.60 Te.upf
ATOMIC_POSITIONS crystal
Be 0.000 0.000 0.000
Fe 0.000 0.500 0.500
Fe 0.500 0.000 0.500
Cu 0.000 0.000 0.500
Te 0.500 0.500 0.000
CELL_PARAMETERS angstrom
4.391 0.000 0.000
0.000 4.391 0.000
0.000 0.000 3.865
```

=====

Entry 3:
Density functional theory data (PBE) for a geometry-optimized CaTb3Ce2Te6 structure. Values from VASP.

Calculated values
For the formation energy without anion corrections, the calculation gives -1.387 eV/atom.

Cell and atoms, written as Quantum ESPRESSO input:
```
&SYSTEM
  ibrav = 0, nat = 12, ntyp = 4
/
ATOMIC_SPECIES
Ca 40.08 Ca.upf
Tb 158.93 Tb.upf
Ce 140.12 Ce.upf
Te 127.60 Te.upf
ATOMIC_POSITIONS crystal
Ca 0.000 0.000 0.000
Tb 0.000 0.000 0.500
Tb 0.332 0.332 0.170
Tb 0.668 0.668 0.830
Ce 0.330 0.330 0.660
Ce 0.670 0.670 0.340
Te 0.163 0.163 0.588
Te 0.166 0.166 0.076
Te 0.499 0.499 0.251
Te 0.501 0.501 0.749
Te 0.834 0.834 0.924
Te 0.837 0.837 0.412
CELL_PARAMETERS angstrom
9.676 -2.201 0.000
9.676 2.201 0.000
-2.088 0.000 8.676
```

=====

| no. | raw total energy (eV per atom) |
| --- | --- |
| 1 | -5.951 |
| 2 | -4.518 |
| 3 | -5.271 |